No. 1
Here is a relaxed structure of TmNpPbO6 from Alexandria. Energies are from PBE.

Properties
VASP energy = -8.2097 eV/atom

abc: 5.7947 5.7947 10.2101
angles: 90.00 90.00 120.00
Space group P-31c (No. 163)
Symmetry-distinct sites (fractional):
Tm  0.3333  0.6667  0.2500
Np  0.3333  0.6667  0.7500
Pb  0.0000  0.0000  0.0000
O  0.0257  0.3823  0.6438

No. 2
Here is a relaxed structure of TmNpPb2O6 from Alexandria. Energies are from PBE.

Properties
N(E_F) = 14.83 states/eV/cell
VASP energy = -7.8375 eV/atom

abc: 5.9759 6.0731 10.4357
angles: 90.00 124.90 90.00
Space group P2_1/c (No. 14)
Symmetry-distinct sites (fractional):
Tm  0.0000  0.0000  0.0000
Np  0.5000  0.0000  0.5000
Pb  0.2449  0.0298  0.7491
O  0.1650  0.1975  0.4572
O  0.2587  0.7094  0.4546
O  0.3428  0.0228  0.2544

Respective E_form (uncorrected) values: -2.56, -2.38 eV per atom.
Respective magnetization values: 0.00, 2.00 μB per formula unit.